# 1
{
  "formula": "BaCrPb",
  "functional": "PBE",
  "state": "optimized geometry",
  "lattice_angstrom": [[6.688, -0.135, 0.147], [5.588, 3.678, 0.146], [1.100, 0.319, 3.800]],
  "species": ["Ba", "Cr", "Pb"],
  "frac_coords": [[0.003, 0.003, 0.997], [0.292, 0.292, 0.708], [0.705, 0.705, 0.295]],
  "magmom_total_mub_per_cell": 4.51,
  "crystal_system": "tetragonal",
  "dos_ef_per_ev_fu": 2.161,
  "relative_energy_ev_per_fu": 0.48,
  "formation_enthalpy_0k_ev_per_atom": 0.267,
  "spacegroup": "I4mm"
}

# 2
{
  "formula": "MnAlTl",
  "functional": "PBE",
  "state": "optimized geometry",
  "lattice_angstrom": [[-0.668, 2.324, -1.941], [-1.323, -2.777, -0.393], [-5.179, 1.894, 4.048]],
  "species": ["Tl", "Mn", "Al"],
  "frac_coords": [[0.333, 0.667, 0.655], [0.667, 0.333, 0.311], [0.000, 0.000, 0.034]],
  "magmom_total_mub_per_cell": 3.05,
  "crystal_system": "trigonal",
  "dos_ef_per_ev_fu": 2.460,
  "relative_energy_ev_per_fu": 0.20,
  "formation_enthalpy_0k_ev_per_atom": 0.354,
  "spacegroup": "P3m1"
}

# 3
{
  "formula": "Dy2Ge4IrRh3",
  "functional": "PBE",
  "state": "optimized geometry",
  "lattice_angstrom": [[4.208, 0.000, 0.000], [0.000, 4.208, 0.000], [0.000, 0.000, 10.097]],
  "species": ["Dy", "Dy", "Ge", "Ge", "Ge", "Ge", "Ir", "Rh", "Rh", "Rh"],
  "frac_coords": [[0.500, 0.000, 0.246], [0.000, 0.500, 0.754], [0.500, 0.500, 0.000], [0.000, 0.000, 0.000], [0.500, 0.000, 0.633], [0.000, 0.500, 0.367], [0.500, 0.500, 0.500], [0.000, 0.000, 0.500], [0.500, 0.000, 0.871], [0.000, 0.500, 0.129]],
  "magmom_total_mub_per_cell": 0.00,
  "crystal_system": "tetragonal",
  "dos_ef_per_ev_fu": 4.936,
  "formation_enthalpy_0k_ev_per_atom": -0.830,
  "spacegroup": "P-4m2"
}

# 4
{
  "formula": "Pm3Sm6DyY2",
  "functional": "PBE",
  "state": "optimized geometry",
  "lattice_angstrom": [[6.272, -0.001, 0.008], [-3.135, 5.433, 0.008], [-1.060, -1.835, 11.795]],
  "species": ["Pm", "Pm", "Pm", "Sm", "Sm", "Sm", "Sm", "Sm", "Sm", "Dy", "Y", "Y"],
  "frac_coords": [[0.167, 0.833, 0.500], [0.833, 0.167, 0.500], [0.500, 0.500, 0.500], [0.917, 0.585, 0.753], [0.750, 0.750, 0.247], [0.083, 0.415, 0.247], [0.585, 0.917, 0.753], [0.250, 0.250, 0.753], [0.415, 0.083, 0.247], [0.000, 0.000, 0.000], [0.333, 0.667, 0.000], [0.667, 0.333, 0.000]],
  "magmom_total_mub_per_cell": 0.00,
  "crystal_system": "monoclinic",
  "dos_ef_per_ev_fu": 16.186,
  "formation_enthalpy_0k_ev_per_atom": 0.014,
  "spacegroup": "C2/m"
}

# 5
{
  "formula": "YMgMn2",
  "functional": "PBE",
  "state": "optimized geometry",
  "lattice_angstrom": [[-0.784, -3.812, -1.502], [2.010, 0.552, -2.449], [5.414, -1.867, 1.912]],
  "species": ["Mg", "Mn", "Mn", "Y"],
  "frac_coords": [[0.500, 0.784, 0.808], [0.000, 0.181, 0.013], [0.500, 0.080, 0.214], [0.000, 0.455, 0.465]],
  "magmom_total_mub_per_cell": 0.53,
  "crystal_system": "orthorhombic",
  "dos_ef_per_ev_fu": 4.990,
  "formation_enthalpy_0k_ev_per_atom": 0.282,
  "spacegroup": "Amm2"
}

# 6
{
  "formula": "CoGeN2",
  "functional": "PBE",
  "state": "optimized geometry",
  "lattice_angstrom": [[5.201, 0.000, 0.000], [0.000, 5.474, 0.000], [0.000, 0.000, 6.442]],
  "species": ["Ge", "Ge", "Ge", "Ge", "Co", "Co", "Co", "Co", "N", "N", "N", "N", "N", "N", "N", "N"],
  "frac_coords": [[0.001, 0.076, 0.124], [0.501, 0.924, 0.876], [0.501, 0.424, 0.624], [0.001, 0.576, 0.376], [0.998, 0.581, 0.880], [0.498, 0.919, 0.380], [0.498, 0.419, 0.120], [0.998, 0.081, 0.620], [0.388, 0.597, 0.861], [0.888, 0.403, 0.139], [0.888, 0.903, 0.361], [0.388, 0.097, 0.639], [0.364, 0.571, 0.385], [0.364, 0.071, 0.115], [0.864, 0.929, 0.885], [0.864, 0.429, 0.615]],
  "magmom_total_mub_per_cell": 12.00,
  "e_form_raw_ev_per_atom": 0.20,
  "crystal_system": "orthorhombic",
  "dos_ef_per_ev_fu": 0.040,
  "spacegroup": "Pna2_1"
}

# 7
{
  "formula": "Zr6Pd12Pt",
  "functional": "PBE",
  "state": "optimized geometry",
  "lattice_angstrom": [[6.973, 0.321, 0.385], [-0.740, 6.941, 0.385], [-0.740, -0.862, 6.898]],
  "species": ["Zr", "Zr", "Zr", "Zr", "Zr", "Zr", "Pd", "Pd", "Pd", "Pd", "Pd", "Pd", "Pd", "Pd", "Pd", "Pd", "Pd", "Pd", "Pt"],
  "frac_coords": [[0.696, 0.856, 0.241], [0.759, 0.304, 0.144], [0.144, 0.759, 0.304], [0.304, 0.144, 0.759], [0.241, 0.696, 0.856], [0.856, 0.241, 0.696], [0.789, 0.538, 0.472], [0.472, 0.789, 0.538], [0.538, 0.472, 0.789], [0.211, 0.462, 0.528], [0.528, 0.211, 0.462], [0.462, 0.528, 0.211], [0.047, 0.134, 0.372], [0.866, 0.628, 0.953], [0.628, 0.953, 0.866], [0.953, 0.866, 0.628], [0.134, 0.372, 0.047], [0.372, 0.047, 0.134], [0.000, 0.000, 0.000]],
  "magmom_total_mub_per_cell": 0.00,
  "crystal_system": "trigonal",
  "dos_ef_per_ev_fu": 9.660,
  "formation_enthalpy_0k_ev_per_atom": -0.592,
  "spacegroup": "R-3"
}

# 8
{
  "formula": "La3Dy2TaN6",
  "functional": "PBE",
  "state": "optimized geometry",
  "lattice_angstrom": [[6.029, 0.002, 0.003], [-3.011, 5.223, 0.003], [-1.004, -1.738, 5.848]],
  "species": ["La", "La", "La", "Dy", "Dy", "Ta", "N", "N", "N", "N", "N", "N"],
  "frac_coords": [[0.167, 0.833, 0.500], [0.833, 0.167, 0.500], [0.500, 0.500, 0.500], [0.333, 0.667, 0.000], [0.667, 0.333, 0.000], [0.000, 0.000, 0.000], [0.929, 0.626, 0.788], [0.768, 0.768, 0.218], [0.071, 0.374, 0.212], [0.626, 0.929, 0.788], [0.232, 0.232, 0.782], [0.374, 0.071, 0.212]],
  "magmom_total_mub_per_cell": 0.00,
  "e_form_raw_ev_per_atom": -1.43,
  "crystal_system": "monoclinic",
  "dos_ef_per_ev_fu": 2.510,
  "spacegroup": "C2/m"
}